Version 1
Sc2CuHg2 after structural relaxation, computed with PBE-GGA.

```
Sc2CuHg2
1.0
-2.0594 2.0594 6.8792
2.0594 -2.0594 6.8792
2.0594 2.0594 -6.8792
Sc Cu Hg
2 1 2
Direct
0.2500 0.7500 0.5000
0.7500 0.2500 0.5000
0.0000 0.0000 0.0000
0.4016 0.4016 0.0000
0.5984 0.5984 0.0000
```

V = 23.34 Å³/atom
Symmetry = I4/mmm (139)


Version 2
Sc2CuHg2 after structural relaxation, computed with PBE-GGA.

```
Sc2CuHg2
1.0
-2.9784 6.4347 2.7164
2.9784 -6.4347 2.7164
2.9784 6.4347 -2.7164
Sc Cu Hg
4 2 4
Direct
0.1676 0.1826 0.3502
0.3324 0.6826 0.0150
0.6676 0.3174 0.9850
0.8324 0.8174 0.6498
0.2500 0.2500 0.0000
0.7500 0.7500 0.0000
0.1031 0.6610 0.7641
0.3969 0.1610 0.5579
0.6031 0.8390 0.4421
0.8969 0.3390 0.2359
```

V = 20.82 Å³/atom
Symmetry = Ibam (72)


Relative to the most stable structure, the computed energies are version 1 0.491; version 2 0.000, all in eV/atom.


Version 1
Sc3CuHg2 after structural relaxation, computed with PBE-GGA.

```
Sc3CuHg2
1.0
4.8739 0.0000 0.0000
-2.4369 4.2209 0.0000
0.0000 0.0000 11.9665
Sc Cu Hg
6 2 4
Direct
0.0000 0.0000 0.2419
0.0000 0.0000 0.7581
0.3333 0.6667 0.4088
0.3333 0.6667 0.9194
0.6667 0.3333 0.0806
0.6667 0.3333 0.5912
0.3333 0.6667 0.1662
0.6667 0.3333 0.8338
0.0000 0.0000 0.0000
0.0000 0.0000 0.5000
0.3333 0.6667 0.6736
0.6667 0.3333 0.3264
```

V = 20.51 Å³/atom
Symmetry = P-3m1 (164)


Version 2
Sc3CuHg2 after structural relaxation, computed with PBE-GGA.

```
Sc3CuHg2
1.0
3.3052 0.0000 0.0000
0.0000 3.3052 0.0000
0.0000 0.0000 11.1797
Sc Cu Hg
3 1 2
Direct
0.0000 0.0000 0.0000
0.0000 0.0000 0.3571
0.0000 0.0000 0.6429
0.5000 0.5000 0.5000
0.5000 0.5000 0.1796
0.5000 0.5000 0.8204
```

V = 20.35 Å³/atom
Symmetry = P4/mmm (123)


Relative to the most stable structure, the computed energies are version 1 0.009; version 2 0.000, all in eV/atom.


Version 1
ScCu3Hg after structural relaxation, computed with PBE-GGA.

```
ScCu3Hg
1.0
4.8940 0.0000 0.0000
0.0000 4.8940 0.0000
0.0000 0.0000 4.8940
Sc Cu Hg
1 3 1
Direct
0.0000 0.0000 0.0000
0.0000 0.0000 0.5000
0.0000 0.5000 0.0000
0.5000 0.0000 0.0000
0.5000 0.5000 0.5000
```

V = 23.44 Å³/atom
Symmetry = Pm-3m (221)


Version 2
ScCu3Hg after structural relaxation, computed with PBE-GGA.

```
ScCu3Hg
1.0
4.7709 0.0000 0.0000
0.0000 4.7709 0.0000
0.0000 0.0000 4.7709
Sc Cu Hg
1 3 1
Direct
0.0000 0.0000 0.0000
0.0000 0.5000 0.5000
0.5000 0.0000 0.5000
0.5000 0.5000 0.0000
0.5000 0.5000 0.5000
```

V = 21.72 Å³/atom
Symmetry = Pm-3m (221)


Relative to the most stable structure, the computed energies are version 1 0.316; version 2 0.000, all in eV/atom.


Version 1
ScCuHg3 after structural relaxation, computed with PBE-GGA.

```
ScCuHg3
1.0
4.9298 0.0000 0.0000
0.0000 4.9298 0.0000
0.0000 0.0000 4.9298
Sc Cu Hg
1 1 3
Direct
0.0000 0.0000 0.0000
0.5000 0.5000 0.5000
0.0000 0.5000 0.5000
0.5000 0.0000 0.5000
0.5000 0.5000 0.0000
```

V = 23.96 Å³/atom
Symmetry = Pm-3m (221)


Version 2
ScCuHg3 after structural relaxation, computed with PBE-GGA.

```
ScCuHg3
1.0
5.5822 0.0000 0.0000
0.0000 5.5822 0.0000
0.0000 0.0000 5.5822
Sc Cu Hg
1 1 3
Direct
0.0000 0.0000 0.0000
0.5000 0.5000 0.5000
0.0000 0.0000 0.5000
0.0000 0.5000 0.0000
0.5000 0.0000 0.0000
```

V = 34.79 Å³/atom
Symmetry = Pm-3m (221)


Relative to the most stable structure, the computed energies are version 1 0.000; version 2 0.484, all in eV/atom.


Version 1
Cu2Hg2Se after structural relaxation, computed with PBE-GGA.

```
Cu2Hg2Se
1.0
6.7544 0.0000 0.0000
0.0000 6.7544 0.0000
0.0000 0.0000 4.1662
Cu Hg Se
4 4 2
Direct
0.1421 0.3579 0.0000
0.3579 0.8579 0.0000
0.6421 0.1421 0.0000
0.8579 0.6421 0.0000
0.1576 0.6576 0.5000
0.3424 0.1576 0.5000
0.6576 0.8424 0.5000
0.8424 0.3424 0.5000
0.0000 0.0000 0.0000
0.5000 0.5000 0.0000
```

V = 19.01 Å³/atom
Symmetry = P4/mbm (127)


Version 2
Cu2Hg2Se after structural relaxation, computed with PBE-GGA.

```
Cu2Hg2Se
1.0
8.1683 0.0000 0.0000
0.0000 8.1683 0.0000
0.0000 0.0000 2.8640
Cu Hg Se
4 4 2
Direct
0.1072 0.3928 0.0000
0.3928 0.8928 0.0000
0.6072 0.1072 0.0000
0.8928 0.6072 0.0000
0.1856 0.6856 0.5000
0.3144 0.1856 0.5000
0.6856 0.8144 0.5000
0.8144 0.3144 0.5000
0.0000 0.0000 0.5000
0.5000 0.5000 0.5000
```

V = 19.11 Å³/atom
Symmetry = P4/mbm (127)


Relative to the most stable structure, the computed energies are version 1 0.000; version 2 0.099, all in eV/atom.


Version 1
Cu2SiHg after structural relaxation, computed with PBE-GGA.

```
Cu2SiHg
1.0
2.8619 0.0000 0.0000
0.0000 2.8619 0.0000
0.0000 0.0000 7.5063
Cu Si Hg
2 1 1
Direct
0.0000 0.0000 0.2035
0.0000 0.0000 0.7965
0.5000 0.5000 0.0000
0.5000 0.5000 0.5000
```

V = 15.37 Å³/atom
Symmetry = P4/mmm (123)


Version 2
Cu2SiHg after structural relaxation, computed with PBE-GGA.

```
Cu2SiHg
1.0
-1.3450 1.9587 6.4340
1.3450 -1.9587 6.4340
1.3450 1.9587 -6.4340
Cu Si Hg
2 1 1
Direct
0.0000 0.0000 0.0000
0.6928 0.1928 0.5000
0.5382 0.5382 0.0000
0.3096 0.8096 0.5000
```

V = 16.95 Å³/atom
Symmetry = Imm2 (44)


Relative to the most stable structure, the computed energies are version 1 0.034; version 2 0.000, all in eV/atom.


Version 1
Cu2SiHg after structural relaxation, computed with PBE-GGA.

```
Cu2SiHg
1.0
3.9834 0.0000 0.0000
0.0000 3.9834 0.0000
0.0000 0.0000 3.8371
Cu Si Hg
2 1 1
Direct
0.0000 0.5000 0.0000
0.5000 0.0000 0.0000
0.0000 0.0000 0.5000
0.5000 0.5000 0.5000
```

V = 15.22 Å³/atom
Symmetry = P4/mmm (123)


Version 2
Cu2SiHg after structural relaxation, computed with PBE-GGA.

```
Cu2SiHg
1.0
-1.3892 2.6983 4.3167
1.3892 -2.6983 4.3167
1.3892 2.6983 -4.3167
Cu Si Hg
2 1 1
Direct
0.2239 0.2239 0.0000
0.7761 0.7761 0.0000
0.0000 0.5000 0.5000
0.5000 0.0000 0.5000
```

V = 16.18 Å³/atom
Symmetry = Immm (71)


Version 3
Cu2SiHg after structural relaxation, computed with PBE-GGA.

```
Cu2SiHg
1.0
4.1492 -1.6391 0.0000
4.1492 1.6391 0.0000
-0.7260 0.0000 4.7537
Cu Si Hg
2 1 1
Direct
0.0000 0.0000 0.0000
0.7327 0.7327 0.1966
0.4600 0.4600 0.3443
0.2418 0.2418 0.7029
```

V = 16.16 Å³/atom
Symmetry = Cm (8)


Relative to the most stable structure, the computed energies are version 1 0.078; version 2 0.064; version 3 0.000, all in eV/atom.


Version 1
Cu2SiHg after structural relaxation, computed with PBE-GGA.

```
Cu2SiHg
1.0
-1.9308 1.9308 4.0981
1.9308 -1.9308 4.0981
1.9308 1.9308 -4.0981
Cu Si Hg
2 1 1
Direct
0.0000 0.0000 0.0000
0.7500 0.2500 0.5000
0.5000 0.5000 0.0000
0.2500 0.7500 0.5000
```

V = 15.28 Å³/atom
Symmetry = I-4m2 (119)


Version 2
Cu2SiHg after structural relaxation, computed with PBE-GGA.

```
Cu2SiHg
1.0
2.8361 0.0000 0.0000
0.0000 3.5178 0.0000
0.0000 0.0000 6.0962
Cu Si Hg
2 1 1
Direct
0.0000 0.0000 0.2061
0.0000 0.0000 0.7939
0.5000 0.5000 0.0000
0.5000 0.5000 0.5000
```

V = 15.21 Å³/atom
Symmetry = Pmmm (47)


Relative to the most stable structure, the computed energies are version 1 0.096; version 2 0.000, all in eV/atom.


Version 1
Cu2SiHg after structural relaxation, computed with PBE-GGA.

```
Cu2SiHg
1.0
2.6761 0.0000 0.0000
0.0000 3.8204 0.0000
0.0000 0.0000 6.8061
Cu Si Hg
2 1 1
Direct
0.0000 0.0000 0.0000
0.0000 0.5000 0.3905
0.5000 0.0000 0.2907
0.5000 0.5000 0.7663
```

V = 17.40 Å³/atom
Symmetry = Pmm2 (25)


Version 2
Cu2SiHg after structural relaxation, computed with PBE-GGA.

```
Cu2SiHg
1.0
1.4528 0.8387 8.3851
-1.4528 0.8387 8.3851
0.0000 -1.6775 8.3851
Cu Si Hg
2 1 1
Direct
0.2388 0.2388 0.2388
0.7612 0.7612 0.7612
0.5000 0.5000 0.5000
0.0000 0.0000 0.0000
```

V = 15.33 Å³/atom
Symmetry = R-3m (166)


Relative to the most stable structure, the computed energies are version 1 0.006; version 2 0.000, all in eV/atom.


Version 1
Cu2SiHg after structural relaxation, computed with PBE-GGA.

```
Cu2SiHg
1.0
-2.0087 2.0087 3.7755
2.0087 -2.0087 3.7755
2.0087 2.0087 -3.7755
Cu Si Hg
2 1 1
Direct
0.2500 0.7500 0.5000
0.7500 0.2500 0.5000
0.0000 0.0000 0.0000
0.5000 0.5000 0.0000
```

V = 15.23 Å³/atom
Symmetry = I4/mmm (139)


Version 2
Cu2SiHg after structural relaxation, computed with PBE-GGA.

```
Cu2SiHg
1.0
2.8203 0.0000 0.0000
0.0000 3.5992 0.0000
0.0000 0.0000 6.2831
Cu Si Hg
2 1 1
Direct
0.0000 0.0000 0.0000
0.5000 0.5000 0.2141
0.5000 0.5000 0.8327
0.0000 0.0000 0.4834
```

V = 15.94 Å³/atom
Symmetry = Pmm2 (25)


Version 3
Cu2SiHg after structural relaxation, computed with PBE-GGA.

```
Cu2SiHg
1.0
0.0000 3.1528 3.1528
3.1528 0.0000 3.1528
3.1528 3.1528 0.0000
Cu Si Hg
2 1 1
Direct
0.0000 0.0000 0.0000
0.2500 0.2500 0.2500
0.5000 0.5000 0.5000
0.7500 0.7500 0.7500
```

V = 15.67 Å³/atom
Symmetry = F-43m (216)


Relative to the most stable structure, the computed energies are version 1 0.071; version 2 0.000; version 3 0.196, all in eV/atom.


Version 1
Cu2SiHg after structural relaxation, computed with PBE-GGA.

```
Cu2SiHg
1.0
2.9344 -3.7383 0.0000
2.9344 3.7383 0.0000
0.0000 0.0000 2.8001
Cu Si Hg
2 1 1
Direct
0.0000 0.5000 0.0000
0.5000 0.0000 0.0000
0.0000 0.0000 0.5000
0.5000 0.5000 0.5000
```

V = 15.36 Å³/atom
Symmetry = Cmmm (65)


Version 2
Cu2SiHg after structural relaxation, computed with PBE-GGA.

```
Cu2SiHg
1.0
-2.0979 2.0979 8.1121
2.0979 -2.0979 8.1121
2.0979 2.0979 -8.1121
Cu Si Hg
4 2 2
Direct
0.0265 0.6250 0.9015
0.3750 0.2765 0.4015
0.7235 0.1250 0.0985
0.8750 0.9735 0.5985
0.0000 0.0000 0.0000
0.7500 0.2500 0.5000
0.2500 0.7500 0.5000
0.5000 0.5000 0.0000
```

V = 17.85 Å³/atom
Symmetry = I-42d (122)


Relative to the most stable structure, the computed energies are version 1 0.000; version 2 0.015, all in eV/atom.


Version 1
Cu2SiHg after structural relaxation, computed with PBE-GGA.

```
Cu2SiHg
1.0
1.4392 0.8309 8.8944
-1.4392 0.8309 8.8944
0.0000 -1.6619 8.8944
Cu Si Hg
2 1 1
Direct
0.0000 0.0000 0.0000
0.2619 0.2619 0.2619
0.5260 0.5260 0.5260
0.7540 0.7540 0.7540
```

V = 15.96 Å³/atom
Symmetry = R3m (160)


Version 2
Cu2SiHg after structural relaxation, computed with PBE-GGA.

```
Cu2SiHg
1.0
0.0000 3.1385 3.1385
3.1385 0.0000 3.1385
3.1385 3.1385 0.0000
Cu Si Hg
2 1 1
Direct
0.2500 0.2500 0.2500
0.7500 0.7500 0.7500
0.0000 0.0000 0.0000
0.5000 0.5000 0.5000
```

V = 15.46 Å³/atom
Symmetry = Fm-3m (225)


Version 3
Cu2SiHg after structural relaxation, computed with PBE-GGA.

```
Cu2SiHg
1.0
3.9953 -1.3719 0.0000
3.9953 1.3719 0.0000
-2.1781 0.0000 6.1871
Cu Si Hg
2 1 1
Direct
0.2426 0.2426 0.3302
0.7574 0.7574 0.6698
0.0000 0.0000 0.5000
0.5000 0.5000 0.0000
```

V = 16.96 Å³/atom
Symmetry = C2/m (12)


Relative to the most stable structure, the computed energies are version 1 0.094; version 2 0.149; version 3 0.000, all in eV/atom.